Here is Hg2Se after structural relaxation from Alexandria. Energies are from GGA-PBE.

a = 4.2276 Å, b = 12.8212 Å, c = 6.9758 Å
α = 90.00°, β = 90.00°, γ = 90.00°
Positions (direct):
Hg 0.7500 0.0385 0.1752
Hg 0.7500 0.2568 0.9550
Hg 0.2500 0.4615 0.6752
Hg 0.2500 0.2432 0.4550
Hg 0.2500 0.9615 0.8248
Hg 0.7500 0.5385 0.3248
Hg 0.2500 0.7432 0.0450
Hg 0.7500 0.7568 0.5450
Se 0.7500 0.6554 0.8709
Se 0.2500 0.3446 0.1291
Se 0.2500 0.8446 0.3709
Se 0.7500 0.1554 0.6291

Computed properties:
calculated volume	31.509	Å³ per atom
magnetic moment	0.000	μB/atom
E above lowest polymorph	0	meV per atom
theoretical density	8.435	g cm⁻³
final energy	-17.45	eV per cell
formation energy from raw total energies	-0.275	eV/f.u.

***

Here is MgCdIr2 after structural relaxation from Alexandria. Energies are from GGA-PBE.

a = 4.3115 Å, b = 2.8338 Å, c = 5.5295 Å
α = 74.41°, β = 90.00°, γ = 90.00°
Positions (direct):
Cd 0.5000 0.7500 0.7500
Mg 0.5000 0.2500 0.2500
Ir 0.0000 0.4076 0.4768
Ir 0.0000 0.0924 0.0232

Computed properties:
calculated volume	16.269	Å³ per atom
magnetic moment	0.000	μB/atom
theoretical density	13.298	g cm⁻³
final energy	-20.25	eV per cell

***

Here is Pu2Sb after structural relaxation from Alexandria. Energies are from GGA-PBE.

a = 4.0027 Å, b = 4.0030 Å, c = 11.1356 Å
α = 100.35°, β = 100.35°, γ = 90.00°
Each line ends with the local moment (μB).
Positions (direct):
Pu 0.5565 0.8065 0.6131  5.86
Pu 0.3065 0.0565 0.1130  5.86
Pu 0.4435 0.1935 0.3869  5.86
Pu 0.6935 0.9435 0.8870  5.86
Sb 0.1250 0.3750 0.7501  -0.11
Sb 0.8750 0.6250 0.2499  -0.11

Computed properties:
calculated volume	28.760	Å³ per atom
magnetic moment	4.186	μB/atom
theoretical density	11.735	g cm⁻³
final energy	-66.98	eV per cell
formation energy from raw total energies	-0.702	eV/f.u.